Ga2ReIrW | PBE | optimized geometry

**Formation energy**: 1488 meV per atom
**Magnetic moment**: 0.356 μB/atom
**DFT total energy**: -32.88 eV/cell

a = 4.5820 Å, b = 4.5820 Å, c = 4.8939 Å
α = 90.00°, β = 90.00°, γ = 90.00°
With the nearest neighbours (Å) after each atom.
Fractional coordinates of all 5 atoms:
Ga 0.0000 0.5000 0.0000  2 Ir 2.29
Ga 0.5000 0.0000 0.0000  2 Ir 2.29
Re 0.0000 0.0000 0.5000  2 Ir 2.45
Ir 0.0000 0.0000 0.0000  4 Ga 2.29, 2 Re 2.45
W 0.5000 0.5000 0.5000  4 Re 3.24, 8 Ga 3.35